Record 1
The following is a DFT calculation (GGA-PBE) of HgBi12Ir4 after structural relaxation.

abc: 8.510 8.510 8.510
angles: 109.47 109.47 109.47
Positions (direct):
Hg 0.000 0.000 0.000
Bi 0.157 0.336 0.494
Bi 0.157 0.664 0.821
Bi 0.179 0.843 0.336
Bi 0.336 0.179 0.843
Bi 0.336 0.494 0.157
Bi 0.494 0.157 0.336
Bi 0.506 0.843 0.664
Bi 0.664 0.506 0.843
Bi 0.664 0.821 0.157
Bi 0.821 0.157 0.664
Bi 0.843 0.336 0.179
Bi 0.843 0.664 0.506
Ir 0.000 0.000 0.500
Ir 0.000 0.500 0.000
Ir 0.500 0.000 0.000
Ir 0.500 0.500 0.500

Summary:
size of the total moment: 0.00 μB per formula unit
N(E_F): 4.81 states/eV/cell
SG: Im-3, No. 204
formation energy from the elements: -0.039 eV/atom


Record 2
The following is a DFT calculation (GGA-PBE) of KHg2BiIr after structural relaxation.

abc: 5.400 5.400 5.286
angles: 90.00 90.00 90.00
Positions (direct):
K 0.000 0.000 0.000
Hg 0.000 0.500 0.500
Hg 0.500 0.000 0.500
Bi 0.500 0.500 0.000
Ir 0.500 0.500 0.500

Summary:
size of the total moment: 0.00 μB per formula unit
N(E_F): 4.81 states/eV/cell
SG: P4/mmm, No. 123
formation energy from the elements: 0.016 eV/atom